Model a:
First-principles (GGA-PBEsol) data for a geometry-optimized ZrTlSb structure, as listed in Alexandria.

Properties
Symmetry: P3m1, No. 156
Theoretical density, g cm⁻³: 9.6

Lattice parameters (Å, degrees): 3.329 3.329 7.506 90.00 90.00 120.00
Sites, in units of the cell vectors:
Zr: 0.000 0.000 0.000
Tl: 0.333 0.667 0.325
Sb: 0.667 0.333 0.690

Model b:
First-principles (GGA-PBEsol) data for a geometry-optimized ZrTlSb structure, as listed in Alexandria.

Properties
Symmetry: Fmm2, No. 42
Theoretical density, g cm⁻³: 9.3

Lattice parameters (Å, degrees): 7.807 7.687 3.192 80.25 76.00 23.76
Sites, in units of the cell vectors:
Zr: 0.000 0.000 0.000
Tl: 0.345 0.345 0.655
Sb: 0.643 0.643 0.357

Of them, the most stable is model a and the least stable is model b.

Model a:
First-principles (GGA-PBEsol) data for a geometry-optimized Tm5Sb3 structure, as listed in Alexandria.

Properties
Symmetry: Pnma, No. 62
Theoretical density, g cm⁻³: 9.7

Lattice parameters (Å, degrees): 11.493 9.078 7.916 90.00 90.00 90.00
Sites, in units of the cell vectors:
Tm: 0.005 0.250 0.024
Tm: 0.065 0.059 0.691
Tm: 0.065 0.441 0.691
Tm: 0.210 0.750 0.342
Tm: 0.229 0.250 0.325
Tm: 0.271 0.750 0.825
Tm: 0.290 0.250 0.842
Tm: 0.435 0.559 0.191
Tm: 0.435 0.941 0.191
Tm: 0.495 0.750 0.524
Tm: 0.505 0.250 0.476
Tm: 0.565 0.059 0.809
Tm: 0.565 0.441 0.809
Tm: 0.710 0.750 0.158
Tm: 0.729 0.250 0.175
Tm: 0.771 0.750 0.675
Tm: 0.790 0.250 0.658
Tm: 0.935 0.559 0.309
Tm: 0.935 0.941 0.309
Tm: 0.995 0.750 0.976
Sb: 0.025 0.750 0.597
Sb: 0.175 0.509 0.063
Sb: 0.175 0.991 0.063
Sb: 0.325 0.009 0.563
Sb: 0.325 0.491 0.563
Sb: 0.475 0.250 0.097
Sb: 0.525 0.750 0.903
Sb: 0.675 0.509 0.437
Sb: 0.675 0.991 0.437
Sb: 0.825 0.009 0.937
Sb: 0.825 0.491 0.937
Sb: 0.975 0.250 0.403

Model b:
First-principles (GGA-PBEsol) data for a geometry-optimized Tm5Sb3 structure, as listed in Alexandria.

Properties
Symmetry: P6_3/mcm, No. 193
Theoretical density, g cm⁻³: 10.0

Lattice parameters (Å, degrees): 8.736 8.736 6.109 90.00 90.00 120.00
Sites, in units of the cell vectors:
Tm: 0.000 0.246 0.250
Tm: 0.000 0.754 0.750
Tm: 0.246 0.000 0.250
Tm: 0.246 0.246 0.750
Tm: 0.333 0.667 0.000
Tm: 0.333 0.667 0.500
Tm: 0.667 0.333 0.000
Tm: 0.667 0.333 0.500
Tm: 0.754 0.000 0.750
Tm: 0.754 0.754 0.250
Sb: 0.000 0.390 0.750
Sb: 0.000 0.610 0.250
Sb: 0.390 0.000 0.750
Sb: 0.390 0.390 0.250
Sb: 0.610 0.000 0.250
Sb: 0.610 0.610 0.750

Of them, the most stable is model b and the least stable is model a.